[1]
This record from the Alexandria database describes an optimized crystal structure of Ho4Zr. The functional is PBE.

Structure (extended XYZ):
```
5
Lattice="5.5011 0.0000 0.0000 0.0000 5.5011 0.0000 0.0000 0.0000 5.5011" Properties=species:S:1:pos:R:3 pbc="T T T"
Zr 2.7506 2.7506 2.7506
Ho 0.0000 0.0000 0.0000
Ho 0.0000 2.7506 2.7506
Ho 2.7506 0.0000 2.7506
Ho 2.7506 2.7506 0.0000
```

Computed properties:
N(E_F): 4.43 states/eV/f.u.
Energy of formation: 0.572 eV per atom
SG: No. 221
Magnetization: 0.00 μB/f.u.


[2]
This record from the Alexandria database describes an optimized crystal structure of PmDyYAl. The functional is PBE.

Structure (extended XYZ):
```
4
Lattice="-2.4752 -0.4191 -2.4929 2.4102 -1.4434 -2.1504 -1.9596 -8.2325 3.3297" Properties=species:S:1:pos:R:3 pbc="T T T"
Dy -0.7395 -3.9015 -1.1204
Y -1.5621 -7.3575 0.2774
Pm -0.1426 -0.5990 0.2423
Al -1.1180 -4.6971 1.8997
```

Computed properties:
N(E_F): 3.31 states/eV/f.u.
Energy of formation: -0.199 eV per atom
SG: No. 99
Magnetization: 0.00 μB/f.u.


[3]
This record from the Alexandria database describes an optimized crystal structure of LiMg6GaO8. The functional is PBE.

Structure (extended XYZ):
```
16
Lattice="-3.0933 -2.5085 -1.4603 2.8735 -2.3447 -2.0590 0.8223 -4.9899 6.8299" Properties=species:S:1:pos:R:3 pbc="T T T"
Mg -0.9205 -5.0537 4.4704
Mg 1.6329 -2.3628 0.5999
Mg -0.1099 -2.4266 -1.7596
Mg 0.3013 -4.9215 1.6554
Mg -1.3504 -2.4447 0.8993
Mg 2.0629 -4.9718 4.1710
Ga 0.4112 -2.4949 3.4150
O 1.4367 -1.1723 -1.0295
O 0.5042 -6.1531 3.3410
O 0.0983 -3.6900 -0.0303
O -1.1355 -3.7492 2.6848
O 0.5972 -3.6236 4.9598
O 1.8479 -3.6673 2.3855
O 0.2252 -1.3663 1.8701
O -1.5466 -1.2543 -0.7301
Li 0.0000 0.0000 0.0000
```

Computed properties:
N(E_F): 0.00 states/eV/f.u.
VASP energy: -5.875 eV per atom
SG: No. 123
Magnetization: 0.00 μB/f.u.


[4]
This record from the Alexandria database describes an optimized crystal structure of BaLi2SnPt. The functional is PBE.

Structure (extended XYZ):
```
5
Lattice="5.0900 0.0000 0.0000 0.0000 5.0900 0.0000 0.0000 0.0000 5.1194" Properties=species:S:1:pos:R:3 pbc="T T T"
Pt 0.0000 0.0000 0.0000
Ba 2.5450 2.5450 2.5597
Sn 0.0000 0.0000 2.5597
Li 2.5450 0.0000 0.0000
Li 0.0000 2.5450 0.0000
```

Computed properties:
N(E_F): 2.34 states/eV/f.u.
Energy of formation: -0.464 eV per atom
SG: No. 123
Magnetization: 0.00 μB/f.u.


[5]
This record from the Alexandria database describes an optimized crystal structure of ZnSiIr2. The functional is PBE.

Structure (extended XYZ):
```
4
Lattice="2.8230 0.0000 0.0000 0.0000 3.7895 0.0000 0.0000 0.0000 5.2517" Properties=species:S:1:pos:R:3 pbc="T T T"
Si 0.0000 0.0000 2.5128
Ir 1.4115 1.8948 1.5160
Ir 0.0000 0.0000 5.0307
Zn 1.4115 1.8948 4.0697
```

Computed properties:
N(E_F): 2.39 states/eV/f.u.
VASP energy: -6.335 eV per atom
SG: No. 25
Magnetization: 0.00 μB/f.u.


[6]
This record from the Alexandria database describes an optimized crystal structure of TlCdGaCl6. The functional is PBE.

Structure (extended XYZ):
```
9
Lattice="6.6391 0.0001 -0.0001 3.3197 5.7496 0.0001 0.0001 -0.0002 7.0452" Properties=species:S:1:pos:R:3 pbc="T T T"
Cl 2.4543 0.1655 4.9333
Cl 4.1847 0.1655 2.1118
Cl 5.2685 2.0427 4.9333
Cl 1.3705 2.0427 2.1118
Cl 4.4033 3.5412 2.1118
Cl 2.2357 3.5412 4.9333
Ga 3.3195 1.9165 3.5225
Cd 6.6390 3.8330 3.5225
Tl 6.6390 -0.0001 7.0451
```

Computed properties:
N(E_F): 0.00 states/eV/f.u.
VASP energy: -2.999 eV per atom
SG: No. 149
Magnetization: 0.00 μB/f.u.


[7]
This record from the Alexandria database describes an optimized crystal structure of MgBeMoHW. The functional is PBE.

Structure (extended XYZ):
```
5
Lattice="2.7473 0.0000 0.0035 0.0000 4.3346 0.0000 -0.7756 0.0000 5.3311" Properties=species:S:1:pos:R:3 pbc="T T T"
Mo -0.0352 0.0000 3.6291
Mg 1.2238 2.1673 2.1319
W 2.0231 2.1673 4.8933
H 1.3885 0.0000 2.2703
Be 1.8098 0.0000 0.5534
```

Computed properties:
N(E_F): 1.51 states/eV/f.u.
VASP energy: -6.300 eV per atom
SG: No. 6
Magnetization: 0.00 μB/f.u.


[8]
This record from the Alexandria database describes an optimized crystal structure of Sb2TeIrPb. The functional is PBE.

Structure (extended XYZ):
```
5
Lattice="5.0845 0.0000 0.0000 0.0000 5.0845 0.0000 0.0000 0.0000 5.8152" Properties=species:S:1:pos:R:3 pbc="T T T"
Sb 0.0000 2.5423 0.0000
Sb 2.5423 0.0000 0.0000
Ir 0.0000 0.0000 0.0000
Te 0.0000 0.0000 2.9076
Pb 2.5423 2.5423 2.9076
```

Computed properties:
N(E_F): 3.45 states/eV/f.u.
VASP energy: -4.479 eV per atom
SG: No. 123
Magnetization: 0.00 μB/f.u.